TbPm4Y5 | PBE-GGA | optimized geometry

Computed properties:
**Formation energy**: 0.0174 eV per atom
**Calculated volume**: 330.2 Å³/cell
**Energy relative to the lowest polymorph listed for this composition**: 0.0 meV/atom

a b c (Å): 3.609 3.609 25.349
angles (deg): 90.00 90.00 90.00
Space group P4/mmm (No. 123)
One atom of each set of equivalent atoms:
Tb: 0.000 0.000 0.000
Pm: 0.000 0.000 0.199
Pm: 0.000 0.000 0.400
Y: 0.500 0.500 0.098
Y: 0.500 0.500 0.299
Y: 0.500 0.500 0.500